Mn4Be3Ge3SeO12: relaxed, GGA+U.

Output
V, A^3/atom: 13.901
SG: P-43n (218)
Raw total energy, eV/atom: -7.04

Cell lengths 8.6153, 8.6153, 8.6153 Å; angles 90.00, 90.00, 90.00 degrees
Closest atoms and distances in Å follow each position.
Positions (direct):
Mn (0.1741, 0.1741, 0.1741)  3 O 2.09
Mn (0.1741, 0.8259, 0.8259)  3 O 2.09
Mn (0.3259, 0.3259, 0.6741)  3 O 2.09
Mn (0.3259, 0.6741, 0.3259)  3 O 2.09
Mn (0.6741, 0.3259, 0.3259)  3 O 2.09
Mn (0.6741, 0.6741, 0.6741)  3 O 2.09
Mn (0.8259, 0.1741, 0.8259)  3 O 2.09
Mn (0.8259, 0.8259, 0.1741)  3 O 2.09
Be (0.0000, 0.2500, 0.5000)  4 O 1.65
Be (0.0000, 0.7500, 0.5000)  4 O 1.65
Be (0.2500, 0.5000, 0.0000)  4 O 1.65
Be (0.5000, 0.0000, 0.2500)  4 O 1.65
Be (0.5000, 0.0000, 0.7500)  4 O 1.65
Be (0.7500, 0.5000, 0.0000)  4 O 1.65
Ge (0.0000, 0.5000, 0.2500)  4 O 1.77
Ge (0.0000, 0.5000, 0.7500)  4 O 1.77
Ge (0.2500, 0.0000, 0.5000)  4 O 1.77
Ge (0.5000, 0.2500, 0.0000)  4 O 1.77
Ge (0.5000, 0.7500, 0.0000)  4 O 1.77
Ge (0.7500, 0.0000, 0.5000)  4 O 1.77
Se (0.0000, 0.0000, 0.0000)  4 Mn 2.60
Se (0.5000, 0.5000, 0.5000)  4 Mn 2.60
O (0.0874, 0.3525, 0.6363)  1 Be 1.65, 1 Ge 1.77
O (0.0874, 0.6475, 0.3637)  1 Be 1.65, 1 Ge 1.77
O (0.1363, 0.1475, 0.4126)  1 Be 1.65, 1 Ge 1.77
O (0.1363, 0.8525, 0.5874)  1 Be 1.65, 1 Ge 1.77
O (0.1475, 0.4126, 0.1363)  1 Be 1.65, 1 Ge 1.77
O (0.1475, 0.5874, 0.8637)  1 Be 1.65, 1 Ge 1.77
O (0.3525, 0.3637, 0.9126)  1 Be 1.65, 1 Ge 1.77
O (0.3525, 0.6363, 0.0874)  1 Be 1.65, 1 Ge 1.77
O (0.3637, 0.0874, 0.6475)  1 Be 1.65, 1 Ge 1.77
O (0.3637, 0.9126, 0.3525)  1 Be 1.65, 1 Ge 1.77
O (0.4126, 0.1363, 0.1475)  1 Be 1.65, 1 Ge 1.77
O (0.4126, 0.8637, 0.8525)  1 Be 1.65, 1 Ge 1.77
O (0.5874, 0.1363, 0.8525)  1 Be 1.65, 1 Ge 1.77
O (0.5874, 0.8637, 0.1475)  1 Be 1.65, 1 Ge 1.77
O (0.6363, 0.0874, 0.3525)  1 Be 1.65, 1 Ge 1.77
O (0.6363, 0.9126, 0.6475)  1 Be 1.65, 1 Ge 1.77
O (0.6475, 0.3637, 0.0874)  1 Be 1.65, 1 Ge 1.77
O (0.6475, 0.6363, 0.9126)  1 Be 1.65, 1 Ge 1.77
O (0.8525, 0.4126, 0.8637)  1 Be 1.65, 1 Ge 1.77
O (0.8525, 0.5874, 0.1363)  1 Be 1.65, 1 Ge 1.77
O (0.8637, 0.1475, 0.5874)  1 Be 1.65, 1 Ge 1.77
O (0.8637, 0.8525, 0.4126)  1 Be 1.65, 1 Ge 1.77
O (0.9126, 0.3525, 0.3637)  1 Be 1.65, 1 Ge 1.77
O (0.9126, 0.6475, 0.6363)  1 Be 1.65, 1 Ge 1.77